# 1
VASP calculation (PBE) on crystalline SiAuSe2 at its relaxed geometry.

Magnetization   0.00 μB per cell
ΔE_f (raw)   0.0 eV per formula unit
Total DFT energy (no corrections)   -0.1439 hartree per atom

Unit cell a=9.1835 b=9.1835 c=9.1835 alpha=21.48 beta=21.48 gamma=21.48
With the nearest neighbours (Å) after each atom.
Atoms (fractional coordinates):
Au  0.7649  0.7649  0.7649  3 Si 2.58, 3 Se 2.75
Se  0.0269  0.0269  0.0269  3 Au 2.75
Se  0.2147  0.2147  0.2147  3 Si 2.46
Si  0.4934  0.4934  0.4934  3 Se 2.46, 3 Au 2.58

***

# 2
VASP calculation (PBE) on crystalline SiAuSe2 at its relaxed geometry.

Magnetization   0.00 μB per cell
ΔE_f (raw)   1.8 eV per formula unit
Total DFT energy (no corrections)   -0.1279 hartree per atom

Unit cell a=2.8082 b=2.8082 c=11.4014 alpha=90.00 beta=90.00 gamma=111.59
With the nearest neighbours (Å) after each atom.
Atoms (fractional coordinates):
Au  0.5000  0.5000  0.7500  4 Au 2.81
Se  0.0000  0.0000  0.0500  2 Si 2.77, 4 Se 2.81
Se  0.0000  0.0000  0.4500  2 Si 2.77, 4 Se 2.81
Si  0.5000  0.5000  0.2500  4 Se 2.77, 4 Si 2.81

***

# 3
VASP calculation (PBE) on crystalline SiAuSe2 at its relaxed geometry.

Magnetization   0.00 μB per cell
ΔE_f (raw)   0.4 eV per formula unit
Total DFT energy (no corrections)   -0.1404 hartree per atom

Unit cell a=4.7165 b=4.7165 c=4.7111 alpha=72.06 beta=72.06 gamma=112.63
With the nearest neighbours (Å) after each atom.
Atoms (fractional coordinates):
Au  0.0000  0.5000  0.5000  2 Si 2.62, 4 Se 2.77
Se  0.0000  0.0000  0.0000  2 Se 2.62, 2 Si 2.77, 2 Au 2.77
Se  0.5000  0.5000  0.0000  2 Se 2.62, 2 Au 2.77, 2 Si 2.77
Si  0.5000  0.0000  0.5000  2 Au 2.62, 4 Se 2.77